Record 1
The following is a DFT calculation (PBE) of Ca2GePt4 after structural relaxation. Values from VASP.

Values from the calculation:
Energy of formation from the pure elements ... -0.294 eV/atom
Calculated density ... 9.46 g/cm³
Density of states at the Fermi level ... 5.500 states/eV/cell

```
&SYSTEM
  ibrav = 0, nat = 7, ntyp = 3
/
ATOMIC_SPECIES
Ge 72.64 Ge.upf
Ca 40.08 Ca.upf
Pt 195.08 Pt.upf
CELL_PARAMETERS angstrom
-2.352 3.754 -1.520
-1.083 -2.277 -3.948
-7.940 -1.862 0.472
ATOMIC_POSITIONS angstrom
Ge 0.000 0.000 0.000
Ca -3.510 -0.010 -1.810
Ca -7.865 -0.373 -3.185
Pt -5.940 -1.026 -0.558
Pt -5.435 0.642 -4.437
Pt -0.541 -1.138 -1.974
Pt -1.176 1.877 -0.760
```

---

Record 2
The following is a DFT calculation (PBE) of CaGe2Pt after structural relaxation. Values from VASP.

Values from the calculation:
Energy of formation from the pure elements ... -0.389 eV/atom
Calculated density ... 8.44 g/cm³
Density of states at the Fermi level ... 0.624 states/eV/cell

```
&SYSTEM
  ibrav = 0, nat = 4, ntyp = 3
/
ATOMIC_SPECIES
Ge 72.64 Ge.upf
Ca 40.08 Ca.upf
Pt 195.08 Pt.upf
CELL_PARAMETERS angstrom
-4.062 1.923 1.476
-2.528 2.724 -2.926
-4.120 -1.563 -1.720
ATOMIC_POSITIONS angstrom
Ge -2.677 0.771 -0.793
Ge -8.032 2.313 -2.378
Ca 0.000 0.000 0.000
Pt -5.355 1.542 -1.585
```

---

Record 3
The following is a DFT calculation (PBE) of Ca3Ge4Pt after structural relaxation. Values from VASP.

Values from the calculation:
Energy of formation from the pure elements ... -0.494 eV/atom
Calculated density ... 4.96 g/cm³
Density of states at the Fermi level ... 4.104 states/eV/cell

```
&SYSTEM
  ibrav = 0, nat = 8, ntyp = 3
/
ATOMIC_SPECIES
Ca 40.08 Ca.upf
Ge 72.64 Ge.upf
Pt 195.08 Pt.upf
CELL_PARAMETERS angstrom
4.594 0.000 0.000
0.000 5.953 0.000
-2.297 -2.977 7.418
ATOMIC_POSITIONS angstrom
Ca 0.000 0.000 2.800
Ca 2.297 2.977 4.618
Ca 0.000 2.977 0.000
Ge 0.000 1.206 5.649
Ge 2.297 1.771 1.769
Ge 2.297 4.182 1.769
Ge 0.000 -1.206 5.649
Pt 2.297 0.000 0.000
```

---

Record 4
The following is a DFT calculation (PBE) of CaGe2Pt after structural relaxation. Values from VASP.

Values from the calculation:
Energy of formation from the pure elements ... -0.742 eV/atom
Calculated density ... 7.82 g/cm³
Density of states at the Fermi level ... 6.258 states/eV/cell

```
&SYSTEM
  ibrav = 0, nat = 16, ntyp = 3
/
ATOMIC_SPECIES
Ca 40.08 Ca.upf
Ge 72.64 Ge.upf
Pt 195.08 Pt.upf
CELL_PARAMETERS angstrom
-6.998 -4.818 4.267
-1.209 -9.031 -2.717
4.916 6.995 4.159
ATOMIC_POSITIONS angstrom
Ca -0.533 0.557 2.155
Ca -1.550 1.620 6.271
Ca -0.584 -5.130 1.182
Ca -2.707 -1.723 4.528
Ge -4.497 -4.743 4.866
Ge 1.206 -2.110 0.843
Ge -3.485 -5.881 0.658
Ge -4.722 -7.967 0.892
Ge 3.619 3.961 3.208
Ge -6.910 -10.814 2.501
Ge -1.916 -2.386 1.557
Ge -1.375 -4.467 4.152
Pt 2.548 1.586 2.612
Pt -5.838 -8.439 3.097
Pt -3.402 -4.328 2.637
Pt 0.111 -2.525 3.073
```

---

Record 5
The following is a DFT calculation (PBE) of Ca2PuGe4Pt3 after structural relaxation. Values from VASP.

Values from the calculation:
Energy of formation from the pure elements ... -0.651 eV/atom
Calculated density ... 9.41 g/cm³
Density of states at the Fermi level ... 14.240 states/eV/cell

```
&SYSTEM
  ibrav = 0, nat = 10, ntyp = 4
/
ATOMIC_SPECIES
Ca 40.08 Ca.upf
Pu 244.00 Pu.upf
Ge 72.64 Ge.upf
Pt 195.08 Pt.upf
CELL_PARAMETERS angstrom
4.267 0.000 0.000
0.000 4.267 0.000
0.000 0.000 11.629
ATOMIC_POSITIONS angstrom
Ca 2.133 0.000 2.695
Ca 0.000 2.133 8.935
Pu 2.133 2.133 5.815
Ge 2.133 2.133 0.000
Ge 0.000 0.000 0.000
Ge 2.133 0.000 7.774
Ge 0.000 2.133 3.856
Pt 0.000 0.000 5.815
Pt 2.133 0.000 10.240
Pt 0.000 2.133 1.389
```

---

Record 6
The following is a DFT calculation (PBE) of Ca2Ge4Pt3Rh after structural relaxation. Values from VASP.

Values from the calculation:
Energy of formation from the pure elements ... -0.807 eV/atom
Calculated density ... 9.34 g/cm³
Density of states at the Fermi level ... 2.439 states/eV/cell

```
&SYSTEM
  ibrav = 0, nat = 10, ntyp = 4
/
ATOMIC_SPECIES
Ca 40.08 Ca.upf
Ge 72.64 Ge.upf
Pt 195.08 Pt.upf
Rh 102.91 Rh.upf
CELL_PARAMETERS angstrom
4.190 0.000 0.000
0.000 4.190 0.000
0.000 0.000 10.725
ATOMIC_POSITIONS angstrom
Ca 2.095 0.000 2.673
Ca 0.000 2.095 8.052
Ge 2.095 2.095 0.000
Ge 0.000 0.000 0.000
Ge 2.095 0.000 6.776
Ge 0.000 2.095 3.949
Pt 0.000 0.000 5.363
Pt 2.095 0.000 9.256
Pt 0.000 2.095 1.469
Rh 2.095 2.095 5.363
```

---

Repeat the fifth record exactly.
The following is a DFT calculation (PBE) of Ca2PuGe4Pt3 after structural relaxation. Values from VASP.

Values from the calculation:
Energy of formation from the pure elements ... -0.651 eV/atom
Calculated density ... 9.41 g/cm³
Density of states at the Fermi level ... 14.240 states/eV/cell

```
&SYSTEM
  ibrav = 0, nat = 10, ntyp = 4
/
ATOMIC_SPECIES
Ca 40.08 Ca.upf
Pu 244.00 Pu.upf
Ge 72.64 Ge.upf
Pt 195.08 Pt.upf
CELL_PARAMETERS angstrom
4.267 0.000 0.000
0.000 4.267 0.000
0.000 0.000 11.629
ATOMIC_POSITIONS angstrom
Ca 2.133 0.000 2.695
Ca 0.000 2.133 8.935
Pu 2.133 2.133 5.815
Ge 2.133 2.133 0.000
Ge 0.000 0.000 0.000
Ge 2.133 0.000 7.774
Ge 0.000 2.133 3.856
Pt 0.000 0.000 5.815
Pt 2.133 0.000 10.240
Pt 0.000 2.133 1.389
```

---

- Look up the calculated density of the fifth one.
  9.41 g/cm³